Below is a relaxed H2WS crystal, with properties calculated at the GGA-PBE level.

a b c (Å): 3.7061 3.7061 3.7061
angles (deg): 60.00 60.00 60.00
Fractional coordinates of all 4 atoms:
W1 0.5000 0.5000 0.5000
H1 0.2500 0.2500 0.2500
S1 0.0000 0.0000 0.0000
H2 0.7500 0.7500 0.7500

Computed properties:
The symmetry is No. 225. The value obtained for the volume is 9.00 Å³ per atom. The size of the total moment is 0.00 Bohr magnetons per cell. Its relative energy among the computed polymorphs is 273.9 kJ/mol of formula units.

---

Below is a relaxed H2WS crystal, with properties calculated at the GGA-PBE level.

a b c (Å): 6.0209 6.0209 4.8381
angles (deg): 51.52 51.52 90.00
Fractional coordinates of all 8 atoms:
H1 0.8750 0.9673 0.7500
W1 0.7500 0.2500 0.5000
H2 0.7173 0.1250 0.2500
H3 0.0327 0.6250 0.2500
S1 0.2500 0.7500 0.5000
S2 0.5000 0.5000 0.0000
W2 0.0000 0.0000 0.0000
H4 0.3750 0.2827 0.7500

Computed properties:
The symmetry is No. 122. The value obtained for the volume is 10.41 Å³ per atom. The size of the total moment is 0.00 Bohr magnetons per cell. Its relative energy among the computed polymorphs is 0.0 kJ/mol of formula units.

---

Below is a relaxed YHWS2 crystal, with properties calculated at the GGA-PBE level.

a b c (Å): 4.6146 3.4049 4.6146
angles (deg): 90.00 90.00 90.00
Each line ends with the local moment (μB).
Fractional coordinates of all 5 atoms:
S1 0.0000 0.0000 0.5000  -0.01
S2 0.5000 0.0000 0.0000  -0.01
Y1 0.5000 0.5000 0.5000  -0.01
W1 0.0000 0.5000 0.0000  0.25
H1 0.0000 0.0000 0.0000  0.00

Computed properties:
The symmetry is No. 123. The value obtained for the volume is 14.50 Å³ per atom. Its electronic total energy is -6.45 eV per atom. The size of the total moment is 0.28 Bohr magnetons per cell.

---

Below is a relaxed YHS crystal, with properties calculated at the GGA-PBE level.

a b c (Å): 3.8877 5.5165 5.3783
angles (deg): 90.00 111.20 90.00
Fractional coordinates of all 6 atoms:
Y1 0.1428 0.2500 0.2858
Y2 0.8572 0.7500 0.7142
S1 0.1479 0.7500 0.2957
H1 0.5676 0.2500 0.1356
S2 0.8521 0.2500 0.7043
H2 0.4324 0.7500 0.8644

Computed properties:
The symmetry is No. 63. The value obtained for the volume is 17.92 Å³ per atom. Its electronic total energy is -5.97 eV per atom. The size of the total moment is 0.00 Bohr magnetons per cell.

---

Below is a relaxed YHS crystal, with properties calculated at the GGA-PBE level.

a b c (Å): 3.6905 3.6905 4.5767
angles (deg): 113.78 113.78 90.00
Fractional coordinates of all 3 atoms:
Y1 0.6384 0.6384 0.2768
S1 0.0080 0.0080 0.0160
H1 0.3536 0.3536 0.7072

Computed properties:
The symmetry is No. 107. The value obtained for the volume is 17.07 Å³ per atom. Its electronic total energy is -5.68 eV per atom. The size of the total moment is 0.00 Bohr magnetons per cell.

---

Below is a relaxed Y2HS3 crystal, with properties calculated at the GGA-PBE level.

a b c (Å): 3.8384 10.5422 10.7344
angles (deg): 90.00 90.00 90.00
Fractional coordinates of all 24 atoms:
S1 0.2500 0.7960 0.7158
S2 0.2500 0.7040 0.2158
S3 0.2500 0.0640 0.8759
H1 0.7500 0.6351 0.3688
Y1 0.7500 0.3152 0.5286
H2 0.2500 0.1351 0.1312
Y2 0.7500 0.5097 0.1979
S4 0.7500 0.6197 0.9521
Y3 0.2500 0.4903 0.8021
Y4 0.7500 0.9903 0.6979
S5 0.2500 0.4360 0.3759
S6 0.7500 0.2040 0.2842
Y5 0.2500 0.0097 0.3021
Y6 0.2500 0.8152 0.9714
S7 0.7500 0.9360 0.1241
S8 0.2500 0.1197 0.5479
H3 0.2500 0.3649 0.6312
S9 0.7500 0.8803 0.4521
H4 0.7500 0.8649 0.8688
S10 0.7500 0.5640 0.6241
S11 0.2500 0.3803 0.0479
S12 0.7500 0.2960 0.7842
Y7 0.7500 0.1848 0.0286
Y8 0.2500 0.6848 0.4714

Computed properties:
The symmetry is No. 62. The value obtained for the volume is 18.10 Å³ per atom. Its electronic total energy is -6.26 eV per atom. The size of the total moment is 0.33 Bohr magnetons per cell.

---

Below is a relaxed YHS crystal, with properties calculated at the GGA-PBE level.

a b c (Å): 3.7708 5.5213 5.4525
angles (deg): 75.01 69.77 70.03
Fractional coordinates of all 6 atoms:
S1 0.4516 0.7752 0.3217
H1 0.8036 0.3393 0.0534
S2 0.5484 0.2248 0.6783
Y1 0.7781 0.6915 0.7524
Y2 0.2219 0.3085 0.2476
H2 0.1964 0.6607 0.9466

Computed properties:
The symmetry is No. 12. The value obtained for the volume is 16.47 Å³ per atom. Its electronic total energy is -6.00 eV per atom. The size of the total moment is 0.00 Bohr magnetons per cell.

---

Below is a relaxed Y2HS crystal, with properties calculated at the GGA-PBE level.

a b c (Å): 4.6588 4.6588 4.6588
angles (deg): 60.00 60.00 60.00
Each line ends with the local moment (μB).
Fractional coordinates of all 4 atoms:
H1 0.0000 0.0000 0.0000  0.00
Y1 0.2500 0.2500 0.2500  0.20
S1 0.5000 0.5000 0.5000  0.00
Y2 0.7500 0.7500 0.7500  0.20

Computed properties:
The symmetry is No. 225. The value obtained for the volume is 17.88 Å³ per atom. The size of the total moment is 0.66 Bohr magnetons per cell. Its relative energy among the computed polymorphs is 132.1 kJ/mol of formula units.

---

Below is a relaxed YH3S crystal, with properties calculated at the GGA-PBE level.

a b c (Å): 3.7485 3.7485 3.7485
angles (deg): 90.00 90.00 90.00
Fractional coordinates of all 5 atoms:
S1 0.0000 0.0000 0.0000
H1 0.0000 0.0000 0.5000
Y1 0.5000 0.5000 0.5000
H2 0.0000 0.5000 0.0000
H3 0.5000 0.0000 0.0000

Computed properties:
The symmetry is No. 221. The value obtained for the volume is 10.53 Å³ per atom. The size of the total moment is 0.00 Bohr magnetons per cell. Its relative energy among the computed polymorphs is 99.3 kJ/mol of formula units.

---

Below is a relaxed Y2HS crystal, with properties calculated at the GGA-PBE level.

a b c (Å): 6.5718 6.5718 5.8347
angles (deg): 55.72 55.72 90.00
Fractional coordinates of all 8 atoms:
Y1 0.5642 0.1250 0.2500
Y2 0.8750 0.8142 0.7500
S1 0.7500 0.2500 0.5000
H1 0.5000 0.5000 0.0000
Y3 0.1858 0.6250 0.2500
S2 0.0000 0.0000 0.0000
H2 0.2500 0.7500 0.5000
Y4 0.3750 0.4358 0.7500

Computed properties:
The symmetry is No. 122. The value obtained for the volume is 19.05 Å³ per atom. The size of the total moment is 0.00 Bohr magnetons per cell. Its relative energy among the computed polymorphs is 4.0 kJ/mol of formula units.

---

Below is a relaxed YH2S crystal, with properties calculated at the GGA-PBE level.

a b c (Å): 4.0775 4.0775 4.0775
angles (deg): 60.00 60.00 60.00
Fractional coordinates of all 4 atoms:
Y1 0.5000 0.5000 0.5000
S1 0.0000 0.0000 0.0000
H1 0.2500 0.2500 0.2500
H2 0.7500 0.7500 0.7500

Computed properties:
The symmetry is No. 225. The value obtained for the volume is 11.98 Å³ per atom. The size of the total moment is 0.00 Bohr magnetons per cell. Its relative energy among the computed polymorphs is 0.0 kJ/mol of formula units.

---

Below is a relaxed Y2H4S crystal, with properties calculated at the GGA-PBE level.

a b c (Å): 3.7219 3.7219 7.2691
angles (deg): 75.17 75.17 60.00
Fractional coordinates of all 7 atoms:
Y1 0.7560 0.7560 0.7319
Y2 0.2440 0.2440 0.2681
H1 0.4326 0.4326 0.7022
H2 0.5674 0.5674 0.2978
S1 0.0000 0.0000 0.0000
H3 0.8629 0.8629 0.4113
H4 0.1371 0.1371 0.5887

Computed properties:
The symmetry is No. 166. The value obtained for the volume is 11.90 Å³ per atom. Its electronic total energy is -5.39 eV per atom. The size of the total moment is 0.00 Bohr magnetons per cell.

---

Below is a relaxed YHS3 crystal, with properties calculated at the GGA-PBE level.

a b c (Å): 5.3490 5.3490 5.3490
angles (deg): 90.00 90.00 90.00
Each line ends with the local moment (μB).
Fractional coordinates of all 5 atoms:
S1 0.5000 0.0000 0.0000  0.53
Y1 0.0000 0.0000 0.0000  -0.07
S2 0.0000 0.5000 0.0000  0.68
S3 0.0000 0.0000 0.5000  0.70
H1 0.5000 0.5000 0.5000  0.38

Computed properties:
The symmetry is No. 221. The value obtained for the volume is 30.61 Å³ per atom. The size of the total moment is 4.00 Bohr magnetons per cell. Its relative energy among the computed polymorphs is 190.6 kJ/mol of formula units.

---

Below is a relaxed Y4H2S5 crystal, with properties calculated at the GGA-PBE level.

a b c (Å): 3.9820 7.4521 10.0275
angles (deg): 126.03 101.45 90.00
Fractional coordinates of all 11 atoms:
S1 0.8543 0.1702 0.7087
S2 0.1457 0.8298 0.2913
Y1 0.2888 0.3003 0.5777
Y2 0.9836 0.7270 0.9673
Y3 0.7112 0.6997 0.4223
H1 0.5642 0.4533 0.1284
S3 0.5000 0.0000 0.0000
H2 0.4358 0.5467 0.8716
S4 0.8267 0.5905 0.6534
Y4 0.0164 0.2730 0.0327
S5 0.1733 0.4095 0.3466

Computed properties:
The symmetry is No. 12. The value obtained for the volume is 21.21 Å³ per atom. Its electronic total energy is -6.41 eV per atom. The size of the total moment is 0.00 Bohr magnetons per cell.

---

Below is a relaxed Y2HS crystal, with properties calculated at the GGA-PBE level.

a b c (Å): 3.7133 3.7133 7.3565
angles (deg): 75.38 75.38 60.00
Each line ends with the local moment (μB).
Fractional coordinates of all 4 atoms:
Y1 0.2676 0.2676 0.1971  0.13
S1 0.6818 0.6818 0.9546  0.01
H1 0.4543 0.4543 0.6372  0.00
Y2 0.0963 0.0963 0.7111  0.01

Computed properties:
The symmetry is No. 160. The value obtained for the volume is 21.01 Å³ per atom. The size of the total moment is 0.31 Bohr magnetons per cell. Its relative energy among the computed polymorphs is 0.0 kJ/mol of formula units.

---

Below is a relaxed YHS crystal, with properties calculated at the GGA-PBE level.

a b c (Å): 4.3391 4.3391 4.3391
angles (deg): 60.00 60.00 60.00
Fractional coordinates of all 3 atoms:
H1 0.5000 0.5000 0.5000
S1 0.0000 0.0000 0.0000
Y1 0.2500 0.2500 0.2500

Computed properties:
The symmetry is No. 216. The value obtained for the volume is 19.26 Å³ per atom. Its electronic total energy is -5.91 eV per atom. The size of the total moment is 0.00 Bohr magnetons per cell.

---

Below is a relaxed YH2S crystal, with properties calculated at the GGA-PBE level.

a b c (Å): 3.9272 3.9272 7.8187
angles (deg): 75.46 75.46 90.00
Fractional coordinates of all 8 atoms:
H1 0.3750 0.3042 0.7500
S1 0.5000 0.5000 0.0000
Y1 0.7500 0.2500 0.5000
H2 0.0542 0.6250 0.2500
S2 0.2500 0.7500 0.5000
Y2 0.0000 0.0000 0.0000
H3 0.8750 0.9458 0.7500
H4 0.6958 0.1250 0.2500

Computed properties:
The symmetry is No. 122. The value obtained for the volume is 14.09 Å³ per atom. The size of the total moment is 0.00 Bohr magnetons per cell. Its relative energy among the computed polymorphs is 8.6 kJ/mol of formula units.

---

Below is a relaxed YH3S crystal, with properties calculated at the GGA-PBE level.

a b c (Å): 4.0131 4.0131 4.0131
angles (deg): 90.00 90.00 90.00
Fractional coordinates of all 5 atoms:
Y1 0.0000 0.0000 0.0000
S1 0.5000 0.5000 0.5000
H1 0.0000 0.5000 0.0000
H2 0.5000 0.0000 0.0000
H3 0.0000 0.0000 0.5000

Computed properties:
The symmetry is No. 221. The value obtained for the volume is 12.93 Å³ per atom. The size of the total moment is 0.00 Bohr magnetons per cell. Its relative energy among the computed polymorphs is 0.0 kJ/mol of formula units.

---

Below is a relaxed YHS3 crystal, with properties calculated at the GGA-PBE level.

a b c (Å): 4.2583 4.2583 4.2583
angles (deg): 90.00 90.00 90.00
Fractional coordinates of all 5 atoms:
S1 0.5000 0.0000 0.0000
S2 0.0000 0.0000 0.5000
H1 0.0000 0.0000 0.0000
S3 0.0000 0.5000 0.0000
Y1 0.5000 0.5000 0.5000

Computed properties:
The symmetry is No. 221. The value obtained for the volume is 15.44 Å³ per atom. The size of the total moment is 0.00 Bohr magnetons per cell. Its relative energy among the computed polymorphs is 0.0 kJ/mol of formula units.

---

Below is a relaxed Zn3HS crystal, with properties calculated at the GGA-PBE level.

a b c (Å): 4.9031 4.9031 4.9031
angles (deg): 90.00 90.00 90.00
Fractional coordinates of all 5 atoms:
S1 0.0000 0.0000 0.0000
Zn1 0.5000 0.0000 0.0000
Zn2 0.0000 0.0000 0.5000
H1 0.5000 0.5000 0.5000
Zn3 0.0000 0.5000 0.0000

Computed properties:
The symmetry is No. 221. The value obtained for the volume is 23.57 Å³ per atom. The size of the total moment is 0.00 Bohr magnetons per cell. Its relative energy among the computed polymorphs is 202.5 kJ/mol of formula units.